a | Entry from Alexandria via LeMat-Bulk: an optimized crystal structure of Ca2ClF (PBE).

Cell and atoms, written as CIF:
```
data_Ca2ClF
_chemical_formula_sum 'Ca8 Cl4 F4'
_cell_length_a 7.045
_cell_length_b 7.045
_cell_length_c 7.045
_cell_angle_alpha 90.00
_cell_angle_beta 90.00
_cell_angle_gamma 90.00
_symmetry_space_group_name_H-M 'F m -3 m'
_symmetry_Int_Tables_number 225
_symmetry_space_group_name_Hall '-F 4 2 3'
loop_
_atom_site_label
_atom_site_fract_x
_atom_site_fract_y
_atom_site_fract_z
Ca1 0.250 0.250 0.250
Cl1 0.000 0.000 0.000
F1 0.000 0.000 0.500
```



b | Entry from Alexandria via LeMat-Bulk: an optimized crystal structure of Ca2ClF (PBE).

Cell and atoms, written as CIF:
```
data_Ca2ClF
_chemical_formula_sum 'Ca8 Cl4 F4'
_cell_length_a 6.065
_cell_length_b 6.065
_cell_length_c 11.741
_cell_angle_alpha 90.00
_cell_angle_beta 90.00
_cell_angle_gamma 90.00
_symmetry_space_group_name_H-M 'I -4 2 d'
_symmetry_Int_Tables_number 122
_symmetry_space_group_name_Hall 'I -4 2bw'
loop_
_atom_site_label
_atom_site_fract_x
_atom_site_fract_y
_atom_site_fract_z
Ca1 0.197 0.250 0.125
Cl1 0.000 0.000 0.500
F1 0.000 0.000 0.000
```



Stability summary - winner: b; margin: 0.572 eV/atom.



a | Entry from Alexandria via LeMat-Bulk: an optimized crystal structure of CaInClF2 (PBE).

Cell and atoms, written as CIF:
```
data_CaInClF2
_chemical_formula_sum 'Ca1 In1 Cl1 F2'
_cell_length_a 4.485
_cell_length_b 4.485
_cell_length_c 5.630
_cell_angle_alpha 90.00
_cell_angle_beta 90.00
_cell_angle_gamma 90.00
_symmetry_space_group_name_H-M 'P 4/m m m'
_symmetry_Int_Tables_number 123
_symmetry_space_group_name_Hall '-P 4 2'
loop_
_atom_site_label
_atom_site_fract_x
_atom_site_fract_y
_atom_site_fract_z
Ca1 0.000 0.000 0.000
In1 0.500 0.500 0.500
Cl1 0.000 0.000 0.500
F1 0.000 0.500 0.000
```



b | Entry from Alexandria via LeMat-Bulk: an optimized crystal structure of CaInClF2 (PBE).

Cell and atoms, written as CIF:
```
data_CaInClF2
_chemical_formula_sum 'Ca2 In2 Cl2 F4'
_cell_length_a 6.679
_cell_length_b 3.977
_cell_length_c 8.598
_cell_angle_alpha 90.00
_cell_angle_beta 109.15
_cell_angle_gamma 90.00
_symmetry_space_group_name_H-M 'P 1 21/m 1'
_symmetry_Int_Tables_number 11
_symmetry_space_group_name_Hall '-P 2yb'
loop_
_atom_site_label
_atom_site_fract_x
_atom_site_fract_y
_atom_site_fract_z
Ca1 0.187 0.250 0.428
In1 0.233 0.250 0.942
Cl1 0.441 0.750 0.653
F1 0.000 0.250 0.617
F2 0.029 0.250 0.145
```



Stability summary - winner: b; margin: 0.055 eV/atom.



a | Entry from Alexandria via LeMat-Bulk: an optimized crystal structure of CaN2ClF (PBE).

Cell and atoms, written as CIF:
```
data_CaN2ClF
_chemical_formula_sum 'Ca1 N2 Cl1 F1'
_cell_length_a 5.146
_cell_length_b 5.146
_cell_length_c 4.205
_cell_angle_alpha 90.00
_cell_angle_beta 90.00
_cell_angle_gamma 90.00
_symmetry_space_group_name_H-M 'P 4/m m m'
_symmetry_Int_Tables_number 123
_symmetry_space_group_name_Hall '-P 4 2'
loop_
_atom_site_label
_atom_site_fract_x
_atom_site_fract_y
_atom_site_fract_z
Ca1 0.000 0.000 0.000
N1 0.000 0.500 0.000
Cl1 0.500 0.500 0.500
F1 0.000 0.000 0.500
```



b | Entry from Alexandria via LeMat-Bulk: an optimized crystal structure of CaN2ClF (PBE).

Cell and atoms, written as CIF:
```
data_CaN2ClF
_chemical_formula_sum 'Ca1 N2 Cl1 F1'
_cell_length_a 3.655
_cell_length_b 3.655
_cell_length_c 4.972
_cell_angle_alpha 90.00
_cell_angle_beta 90.00
_cell_angle_gamma 90.00
_symmetry_space_group_name_H-M 'P 4/m m m'
_symmetry_Int_Tables_number 123
_symmetry_space_group_name_Hall '-P 4 2'
loop_
_atom_site_label
_atom_site_fract_x
_atom_site_fract_y
_atom_site_fract_z
Ca1 0.000 0.000 0.000
N1 0.000 0.500 0.500
Cl1 0.500 0.500 0.500
F1 0.500 0.500 0.000
```



Stability summary - winner: b; margin: 0.042 eV/atom.



a | Entry from Alexandria via LeMat-Bulk: an optimized crystal structure of CaS2ClF (PBE).

Cell and atoms, written as CIF:
```
data_CaS2ClF
_chemical_formula_sum 'Ca1 S2 Cl1 F1'
_cell_length_a 5.677
_cell_length_b 5.677
_cell_length_c 5.151
_cell_angle_alpha 90.00
_cell_angle_beta 90.00
_cell_angle_gamma 90.00
_symmetry_space_group_name_H-M 'P 4/m m m'
_symmetry_Int_Tables_number 123
_symmetry_space_group_name_Hall '-P 4 2'
loop_
_atom_site_label
_atom_site_fract_x
_atom_site_fract_y
_atom_site_fract_z
Ca1 0.000 0.000 0.000
S1 0.000 0.500 0.000
Cl1 0.000 0.000 0.500
F1 0.500 0.500 0.500
```



b | Entry from Alexandria via LeMat-Bulk: an optimized crystal structure of CaS2ClF (PBE).

Cell and atoms, written as CIF:
```
data_CaS2ClF
_chemical_formula_sum 'Ca1 S2 Cl1 F1'
_cell_length_a 4.202
_cell_length_b 4.202
_cell_length_c 5.646
_cell_angle_alpha 90.00
_cell_angle_beta 90.00
_cell_angle_gamma 90.00
_symmetry_space_group_name_H-M 'P 4/m m m'
_symmetry_Int_Tables_number 123
_symmetry_space_group_name_Hall '-P 4 2'
loop_
_atom_site_label
_atom_site_fract_x
_atom_site_fract_y
_atom_site_fract_z
Ca1 0.000 0.000 0.000
S1 0.000 0.500 0.500
Cl1 0.500 0.500 0.000
F1 0.500 0.500 0.500
```



Stability summary - winner: b; margin: 0.431 eV/atom.